A relaxed structure of PaCo2OsO8, computed with GGA+U.

Summary:
Crystal system: orthorhombic
Calculated density: 7.69 Mg/m³
Electronic total energy: -7.61 eV per atom

Lattice parameters (Å, degrees): 4.6866 4.6862 6.5635 90.00 90.00 90.76
Site moments in Bohr magnetons follow the coordinates.
Element x y z (fractional)
1 O 0.7181 0.7181 0.0000  0.06
2 O 0.6918 0.6919 0.5000  0.05
3 O 0.1970 0.8029 0.7811  -0.02
4 O 0.8030 0.1971 0.2189  -0.02
5 O 0.1970 0.8030 0.2189  -0.02
6 O 0.8030 0.1970 0.7811  -0.02
7 O 0.2819 0.2819 0.0000  0.06
8 O 0.3082 0.3081 0.5000  0.05
9 Co 0.5000 0.5000 0.2378  2.66
10 Co 0.5000 0.5000 0.7622  2.66
11 Os 0.0000 0.0000 0.0000  -0.55
12 Pa 0.0000 0.0000 0.5000  0.03